DFT (PBE) results for ErSb2Pd2 after structural relaxation.

```
ErSb2Pd2
1.0
4.423 0.000 0.000
0.000 4.423 0.000
0.000 0.000 11.222
Er Sb Pd
2 4 4
Direct
0.250 0.250 0.222
0.750 0.750 0.778
0.250 0.250 0.867
0.250 0.750 0.500
0.750 0.250 0.500
0.750 0.750 0.133
0.250 0.250 0.641
0.250 0.750 0.000
0.750 0.250 0.000
0.750 0.750 0.359
```

Computed properties:
SG ... No. 129
Final energy ... -53.08 eV per cell